Sm6AgRh: optimized geometry, GGA-PBE.

Cell lengths 6.8576, 6.8619, 7.6484 Å; angles 90.05, 116.58, 119.97 degrees
Positions (direct):
Sm (0.0227, 0.0787, 0.2552)
Sm (0.3112, 0.7325, 0.2551)
Sm (0.3229, 0.5557, 0.7449)
Sm (0.6771, 0.4443, 0.2551)
Sm (0.6888, 0.2675, 0.7449)
Sm (0.9773, 0.9213, 0.7448)
Ag (0.5000, 0.0000, 0.0000)
Rh (0.5000, 0.5000, 0.5000)

Values from the calculation:
- N(E_F) (states/eV per cell) = 10.9
- space-group type = No. 2
- formation energy from the elements (eV/atom) = -0.085
- total DFT energy (no corrections) (eV/atom) = -4.8996
- spin magnetization (μB per formula unit) = 0.00

=====

Be5Cd3: optimized geometry, GGA-PBE.

Cell lengths 5.4038, 5.4038, 3.6896 Å; angles 90.00, 90.00, 92.33 degrees
Positions (direct):
Be (0.0000, 0.0000, 0.0000)
Be (0.0000, 0.5000, 0.0000)
Be (0.2454, 0.2454, 0.5000)
Be (0.5000, 0.0000, 0.0000)
Be (0.7546, 0.7546, 0.5000)
Cd (0.2248, 0.7752, 0.5000)
Cd (0.5000, 0.5000, 0.0000)
Cd (0.7752, 0.2248, 0.5000)

Values from the calculation:
- N(E_F) (states/eV per cell) = 2.4
- space-group type = No. 65
- formation energy from the elements (eV/atom) = 0.524
- total DFT energy (no corrections) (eV/atom) = -2.1483
- spin magnetization (μB per formula unit) = 0.00
- relative energy among the computed polymorphs (meV/atom) = 164

=====

Cs5HgBi2: optimized geometry, GGA-PBE.

Cell lengths 6.7214, 6.7282, 22.9290 Å; angles 90.42, 90.19, 117.22 degrees
Positions (direct):
Cs (0.0035, 0.4885, 0.3579)
Cs (0.0099, 0.4954, 0.1424)
Cs (0.3214, 0.1762, 0.9495)
Cs (0.3246, 0.1791, 0.5505)
Cs (0.3721, 0.1289, 0.7500)
Cs (0.6279, 0.8711, 0.2500)
Cs (0.6754, 0.8209, 0.4495)
Cs (0.6786, 0.8238, 0.0505)
Cs (0.9901, 0.5046, 0.8576)
Cs (0.9965, 0.5115, 0.6421)
Hg (0.2808, 0.2188, 0.2500)
Hg (0.7192, 0.7812, 0.7500)
Bi (0.3417, 0.1493, 0.3755)
Bi (0.3489, 0.1567, 0.1244)
Bi (0.6511, 0.8433, 0.8756)
Bi (0.6583, 0.8507, 0.6245)

Values from the calculation:
- N(E_F) (states/eV per cell) = 8.1
- space-group type = No. 2
- formation energy from the elements (eV/atom) = -0.337
- total DFT energy (no corrections) (eV/atom) = -1.8788
- spin magnetization (μB per formula unit) = 0.00

=====

Ac6Ir3ICl2: optimized geometry, GGA-PBE.

Cell lengths 10.6091, 10.6091, 9.6461 Å; angles 110.68, 110.68, 23.73 degrees
Positions (direct):
Ac (0.0133, 0.0133, 0.2145)
Ac (0.3194, 0.3194, 0.4480)
Ac (0.3436, 0.3436, 0.8909)
Ac (0.6564, 0.6564, 0.1091)
Ac (0.6806, 0.6806, 0.5520)
Ac (0.9867, 0.9867, 0.7855)
Ir (0.1670, 0.1670, 0.3296)
Ir (0.5000, 0.5000, 0.0000)
Ir (0.8330, 0.8330, 0.6704)
I (0.5000, 0.5000, 0.5000)
Cl (0.1688, 0.1688, 0.8363)
Cl (0.8312, 0.8312, 0.1637)

Values from the calculation:
- N(E_F) (states/eV per cell) = 2.8
- space-group type = No. 12
- E_form (uncorrected) (meV per atom) = -1203
- total DFT energy (no corrections) (eV/atom) = -5.9093
- spin magnetization (μB per formula unit) = 0.00

=====

Pr2SmZn9: optimized geometry, GGA-PBE.

Cell lengths 9.3510, 9.3510, 9.3510 Å; angles 34.39, 34.39, 34.39 degrees
Positions (direct):
Pr (0.1410, 0.1410, 0.1410)
Pr (0.8590, 0.8590, 0.8590)
Sm (0.0000, 0.0000, 0.0000)
Zn (0.0769, 0.5819, 0.5819)
Zn (0.3348, 0.3348, 0.3348)
Zn (0.4181, 0.4181, 0.9231)
Zn (0.4181, 0.9231, 0.4181)
Zn (0.5000, 0.5000, 0.5000)
Zn (0.5819, 0.0769, 0.5819)
Zn (0.5819, 0.5819, 0.0769)
Zn (0.6652, 0.6652, 0.6652)
Zn (0.9231, 0.4181, 0.4181)

Values from the calculation:
- N(E_F) (states/eV per cell) = 6.8
- space-group type = No. 166
- formation energy from the elements (eV/atom) = -0.292
- total DFT energy (no corrections) (eV/atom) = -2.4372
- spin magnetization (μB per formula unit) = 0.00

=====

Rb2In4Pd: optimized geometry, GGA-PBE.

Cell lengths 10.5555, 10.5555, 10.5555 Å; angles 151.28, 151.28, 41.07 degrees
Positions (direct):
Rb (0.1680, 0.1680, 0.0000)
Rb (0.8320, 0.8320, 0.0000)
In (0.0000, 0.5000, 0.5000)
In (0.3657, 0.3657, 0.0000)
In (0.5000, 0.0000, 0.5000)
In (0.6343, 0.6343, 0.0000)
Pd (0.5000, 0.5000, 0.0000)

Values from the calculation:
- N(E_F) (states/eV per cell) = 4.7
- space-group type = No. 139
- formation energy from the elements (eV/atom) = -0.075
- total DFT energy (no corrections) (eV/atom) = -2.6580
- spin magnetization (μB per formula unit) = 0.00

=====

SiP2C: optimized geometry, GGA-PBE.

Cell lengths 4.0996, 4.0996, 4.0996 Å; angles 60.00, 60.00, 60.00 degrees
Positions (direct):
Si (0.0000, 0.0000, 0.0000)
P (0.2500, 0.2500, 0.2500)
P (0.7500, 0.7500, 0.7500)
C (0.5000, 0.5000, 0.5000)

Values from the calculation:
- N(E_F) (states/eV per cell) = 1.7
- space-group type = No. 225
- E_form (uncorrected) (meV per atom) = 1528
- total DFT energy (no corrections) (eV/atom) = -4.8391
- spin magnetization (μB per formula unit) = 0.00
- relative energy among the computed polymorphs (meV/atom) = 1332

=====

NbNi2Pt8: optimized geometry, GGA-PBE.

Cell lengths 7.3063, 7.3063, 6.2329 Å; angles 105.88, 105.88, 31.36 degrees
Positions (direct):
Nb (0.0000, 0.0000, 0.0000)
Ni (0.2757, 0.2757, 0.3690)
Ni (0.7243, 0.7243, 0.6310)
Pt (0.0984, 0.0984, 0.4518)
Pt (0.1827, 0.1827, 0.9172)
Pt (0.3617, 0.3617, 0.8116)
Pt (0.4533, 0.4533, 0.2725)
Pt (0.5467, 0.5467, 0.7275)
Pt (0.6383, 0.6383, 0.1884)
Pt (0.8173, 0.8173, 0.0828)
Pt (0.9016, 0.9016, 0.5482)

Values from the calculation:
- N(E_F) (states/eV per cell) = 15.7
- space-group type = No. 12
- formation energy from the elements (eV/atom) = -0.289
- total DFT energy (no corrections) (eV/atom) = -6.6489
- spin magnetization (μB per formula unit) = 1.47

=====

PmPb2IO8: optimized geometry, GGA-PBE.

Cell lengths 5.1223, 5.1223, 6.9505 Å; angles 90.00, 90.00, 90.85 degrees
Positions (direct):
Pm (0.0000, 0.0000, 0.0000)
Pb (0.5000, 0.5000, 0.2515)
Pb (0.5000, 0.5000, 0.7485)
I (0.0000, 0.0000, 0.5000)
O (0.1906, 0.1906, 0.2778)
O (0.1906, 0.1906, 0.7222)
O (0.2968, 0.7032, 0.5000)
O (0.3152, 0.6848, 0.0000)
O (0.6848, 0.3152, 0.0000)
O (0.7032, 0.2968, 0.5000)
O (0.8094, 0.8094, 0.2778)
O (0.8094, 0.8094, 0.7222)

Values from the calculation:
- space-group type = No. 65
- E_form (uncorrected) (meV per atom) = -1171
- total DFT energy (no corrections) (eV/atom) = -5.6201
- spin magnetization (μB per formula unit) = 0.00

=====

Sr2AsPPd6: optimized geometry, GGA-PBE.

Cell lengths 6.4067, 9.1831, 7.0025 Å; angles 90.00, 90.00, 90.00 degrees
Positions (direct):
Sr (0.2500, 0.0334, 0.2167)
Sr (0.2500, 0.4666, 0.2167)
Sr (0.7500, 0.5334, 0.7833)
Sr (0.7500, 0.9666, 0.7833)
As (0.2500, 0.7500, 0.7772)
As (0.7500, 0.2500, 0.2228)
P (0.2500, 0.2500, 0.7339)
P (0.7500, 0.7500, 0.2661)
Pd (0.0288, 0.7500, 0.4794)
Pd (0.0325, 0.7500, 0.0672)
Pd (0.2500, 0.0042, 0.6557)
Pd (0.2500, 0.4958, 0.6557)
Pd (0.4675, 0.7500, 0.0672)
Pd (0.4712, 0.7500, 0.4794)
Pd (0.5288, 0.2500, 0.5206)
Pd (0.5325, 0.2500, 0.9328)
Pd (0.7500, 0.5042, 0.3443)
Pd (0.7500, 0.9958, 0.3443)
Pd (0.9675, 0.2500, 0.9328)
Pd (0.9712, 0.2500, 0.5206)

Values from the calculation:
- N(E_F) (states/eV per cell) = 6.2
- space-group type = No. 59
- formation energy from the elements (eV/atom) = -0.702
- total DFT energy (no corrections) (eV/atom) = -5.1605
- spin magnetization (μB per formula unit) = 0.00

=====

Cr3Ir: optimized geometry, GGA-PBE.

Cell lengths 4.5006, 4.5006, 2.6335 Å; angles 90.00, 90.00, 109.06 degrees
Positions (direct):
Cr (0.0000, 0.0000, 0.0000)
Cr (0.0000, 0.5000, 0.5000)
Cr (0.5000, 0.0000, 0.5000)
Ir (0.5000, 0.5000, 0.0000)

Values from the calculation:
- N(E_F) (states/eV per cell) = 6.5
- space-group type = No. 65
- formation energy from the elements (eV/atom) = 0.078
- total DFT energy (no corrections) (eV/atom) = -9.3545
- spin magnetization (μB per formula unit) = 0.04

=====

Cs2TeSe6: optimized geometry, GGA-PBE.

Cell lengths 13.0495, 13.0495, 8.3469 Å; angles 104.75, 104.75, 32.71 degrees
Positions (direct):
Cs (0.0777, 0.6149, 0.6288)
Cs (0.3851, 0.9223, 0.8712)
Cs (0.6149, 0.0777, 0.1288)
Cs (0.9223, 0.3851, 0.3712)
Te (0.2836, 0.7164, 0.2500)
Te (0.7164, 0.2836, 0.7500)
Se (0.0164, 0.8955, 0.0191)
Se (0.1037, 0.4329, 0.1291)
Se (0.1045, 0.9836, 0.4809)
Se (0.1444, 0.5880, 0.1973)
Se (0.4120, 0.8556, 0.3027)
Se (0.4329, 0.1037, 0.6291)
Se (0.5671, 0.8963, 0.3709)
Se (0.5880, 0.1444, 0.6973)
Se (0.8556, 0.4120, 0.8027)
Se (0.8955, 0.0164, 0.5191)
Se (0.8963, 0.5671, 0.8709)
Se (0.9836, 0.1045, 0.9809)

Values from the calculation:
- space-group type = No. 15
- E_form (uncorrected) (meV per atom) = -445
- total DFT energy (no corrections) (eV/atom) = -3.3067
- spin magnetization (μB per formula unit) = 0.00
- relative energy among the computed polymorphs (meV/atom) = 5

=====

Which formula does entry 4 have?
Ac6Ir3ICl2